{
  "formula": "Fe3TeO",
  "functional": "GGA+U",
  "state": "optimized geometry",
  "total_magnetization_mub_per_fu": 10.0,
  "n_ef_per_ev_fu": 5.34,
  "e_tot_ev_per_atom": -3.405,
  "lattice_angstrom": [[4.898, 0.000, 0.000], [0.000, 4.898, 0.000], [0.000, 0.000, 4.898]],
  "species": ["Fe", "Fe", "Fe", "Te", "O"],
  "fractional_positions": [[0.000, 0.000, 0.500], [0.000, 0.500, 0.000], [0.500, 0.000, 0.000], [0.000, 0.000, 0.000], [0.500, 0.500, 0.500]]
}